# PBEsol MnHgP2, optimized geometry
# energy relative to the elements	0.4191	eV per atom
# raw total energy	-5.06	eV/atom
data_MnHgP2
_cell_length_a 5.3554
_cell_length_b 7.0933
_cell_length_c 4.1370
_cell_angle_alpha 90.00
_cell_angle_beta 117.59
_cell_angle_gamma 90.00
_symmetry_space_group_name_H-M 'C 1 2/m 1'
_symmetry_Int_Tables_number 12
_symmetry_space_group_name_Hall '-C 2y'
loop_
_atom_site_label
_atom_site_fract_x
_atom_site_fract_y
_atom_site_fract_z
Mn1 0.0000 0.0000 0.0000
Hg1 0.0000 0.5000 0.0000
P1 0.2500 0.2500 0.5000